Model A:
Below is a geometry-optimized PrYGaRh structure, with properties calculated at the PBE level. Values from VASP.

Calculated values
Magnetization   0.000 μB per atom

Cell and atoms, written as Quantum ESPRESSO input:
```
&SYSTEM
  ibrav = 0, nat = 4, ntyp = 4
/
ATOMIC_SPECIES
Pr 140.91 Pr.upf
Y 88.91 Y.upf
Ga 69.72 Ga.upf
Rh 102.91 Rh.upf
CELL_PARAMETERS angstrom
4.249 0.000 0.000
0.000 2.130 5.315
0.000 -2.130 5.315
ATOMIC_POSITIONS crystal
Pr 0.000 0.000 0.000
Y 0.500 0.284 0.284
Ga 0.500 0.582 0.582
Rh 0.000 0.727 0.727
```

---

Model B:
Below is a geometry-optimized PrYGaRh structure, with properties calculated at the PBE level. Values from VASP.

Calculated values
Magnetization   0.000 μB per atom

Cell and atoms, written as Quantum ESPRESSO input:
```
&SYSTEM
  ibrav = 0, nat = 4, ntyp = 4
/
ATOMIC_SPECIES
Pr 140.91 Pr.upf
Y 88.91 Y.upf
Ga 69.72 Ga.upf
Rh 102.91 Rh.upf
CELL_PARAMETERS angstrom
0.000 3.590 3.590
3.590 0.000 3.590
3.590 3.590 0.000
ATOMIC_POSITIONS crystal
Pr 0.000 0.000 0.000
Y 0.500 0.500 0.500
Ga 0.750 0.750 0.750
Rh 0.250 0.250 0.250
```

---

Order from most stable to least stable according to the calculation: model A, model B

---

Model A:
Below is a geometry-optimized Pr2Ga6Ru structure, with properties calculated at the PBE level. Values from VASP.

Calculated values
Magnetization   0.000 μB per atom

Cell and atoms, written as Quantum ESPRESSO input:
```
&SYSTEM
  ibrav = 0, nat = 9, ntyp = 3
/
ATOMIC_SPECIES
Pr 140.91 Pr.upf
Ga 69.72 Ga.upf
Ru 101.07 Ru.upf
CELL_PARAMETERS angstrom
6.074 0.000 0.000
-3.037 5.260 0.000
0.000 0.000 5.625
ATOMIC_POSITIONS crystal
Pr 0.333 0.667 0.188
Pr 0.667 0.333 0.812
Ga 0.172 0.345 0.685
Ga 0.172 0.828 0.685
Ga 0.345 0.172 0.315
Ga 0.655 0.828 0.685
Ga 0.828 0.172 0.315
Ga 0.828 0.655 0.315
Ru 0.000 0.000 0.000
```

---

Model B:
Below is a geometry-optimized Pr2Ga6Ru structure, with properties calculated at the PBE level. Values from VASP.

Calculated values
Magnetization   0.000 μB per atom

Cell and atoms, written as Quantum ESPRESSO input:
```
&SYSTEM
  ibrav = 0, nat = 9, ntyp = 3
/
ATOMIC_SPECIES
Pr 140.91 Pr.upf
Ga 69.72 Ga.upf
Ru 101.07 Ru.upf
CELL_PARAMETERS angstrom
0.000 4.468 4.468
4.468 0.000 4.468
4.468 4.468 0.000
ATOMIC_POSITIONS crystal
Pr 0.250 0.250 0.250
Pr 0.750 0.750 0.750
Ga 0.217 0.217 0.783
Ga 0.217 0.783 0.217
Ga 0.217 0.783 0.783
Ga 0.783 0.217 0.217
Ga 0.783 0.217 0.783
Ga 0.783 0.783 0.217
Ru 0.500 0.500 0.500
```

---

Order from most stable to least stable according to the calculation: model B, model A

---

Model A:
Below is a geometry-optimized Pr8Ga2Ru structure, with properties calculated at the PBE level. Values from VASP.

Calculated values
Magnetization   0.000 μB per atom

Cell and atoms, written as Quantum ESPRESSO input:
```
&SYSTEM
  ibrav = 0, nat = 11, ntyp = 3
/
ATOMIC_SPECIES
Pr 140.91 Pr.upf
Ga 69.72 Ga.upf
Ru 101.07 Ru.upf
CELL_PARAMETERS angstrom
-2.756 3.529 8.273
2.756 -3.529 8.273
2.756 3.529 -8.273
ATOMIC_POSITIONS crystal
Pr 0.136 0.372 0.765
Pr 0.198 0.198 0.000
Pr 0.253 0.000 0.253
Pr 0.393 0.628 0.765
Pr 0.607 0.372 0.235
Pr 0.747 0.000 0.747
Pr 0.802 0.802 0.000
Pr 0.864 0.628 0.235
Ga 0.315 0.815 0.500
Ga 0.685 0.185 0.500
Ru 0.000 0.500 0.500
```

---

Model B:
Below is a geometry-optimized Pr8Ga2Ru structure, with properties calculated at the PBE level. Values from VASP.

Calculated values
Magnetization   0.000 μB per atom

Cell and atoms, written as Quantum ESPRESSO input:
```
&SYSTEM
  ibrav = 0, nat = 11, ntyp = 3
/
ATOMIC_SPECIES
Pr 140.91 Pr.upf
Ga 69.72 Ga.upf
Ru 101.07 Ru.upf
CELL_PARAMETERS angstrom
9.224 -2.584 0.000
9.224 2.584 0.000
-1.401 0.000 6.870
ATOMIC_POSITIONS crystal
Pr 0.022 0.022 0.281
Pr 0.206 0.206 0.803
Pr 0.347 0.347 0.538
Pr 0.408 0.408 0.055
Pr 0.592 0.592 0.945
Pr 0.653 0.653 0.462
Pr 0.794 0.794 0.197
Pr 0.978 0.978 0.719
Ga 0.190 0.190 0.236
Ga 0.810 0.810 0.764
Ru 0.500 0.500 0.500
```

---

Order from most stable to least stable according to the calculation: model B, model A

---

Model A:
Below is a geometry-optimized TbPrGaRu structure, with properties calculated at the PBE level. Values from VASP.

Calculated values
Magnetization   0.000 μB per atom

Cell and atoms, written as Quantum ESPRESSO input:
```
&SYSTEM
  ibrav = 0, nat = 4, ntyp = 4
/
ATOMIC_SPECIES
Tb 158.93 Tb.upf
Pr 140.91 Pr.upf
Ga 69.72 Ga.upf
Ru 101.07 Ru.upf
CELL_PARAMETERS angstrom
0.000 3.573 3.573
3.573 0.000 3.573
3.573 3.573 0.000
ATOMIC_POSITIONS crystal
Tb 0.000 0.000 0.000
Pr 0.500 0.500 0.500
Ga 0.250 0.250 0.250
Ru 0.750 0.750 0.750
```

---

Model B:
Below is a geometry-optimized TbPrGaRu structure, with properties calculated at the PBE level. Values from VASP.

Calculated values
Magnetization   0.000 μB per atom

Cell and atoms, written as Quantum ESPRESSO input:
```
&SYSTEM
  ibrav = 0, nat = 4, ntyp = 4
/
ATOMIC_SPECIES
Tb 158.93 Tb.upf
Pr 140.91 Pr.upf
Ga 69.72 Ga.upf
Ru 101.07 Ru.upf
CELL_PARAMETERS angstrom
3.957 0.000 0.000
0.000 2.210 5.469
0.000 -2.210 5.469
ATOMIC_POSITIONS crystal
Tb 0.000 0.000 0.000
Pr 0.500 0.715 0.715
Ga 0.000 0.306 0.306
Ru 0.500 0.456 0.456
```

---

Order from most stable to least stable according to the calculation: model B, model A

---

Model A:
Below is a geometry-optimized PrTmGaRu structure, with properties calculated at the PBE level. Values from VASP.

Calculated values
Magnetization   0.000 μB per atom

Cell and atoms, written as Quantum ESPRESSO input:
```
&SYSTEM
  ibrav = 0, nat = 4, ntyp = 4
/
ATOMIC_SPECIES
Pr 140.91 Pr.upf
Tm 168.93 Tm.upf
Ga 69.72 Ga.upf
Ru 101.07 Ru.upf
CELL_PARAMETERS angstrom
0.000 3.542 3.542
3.542 0.000 3.542
3.542 3.542 0.000
ATOMIC_POSITIONS crystal
Pr 0.000 0.000 0.000
Tm 0.500 0.500 0.500
Ga 0.750 0.750 0.750
Ru 0.250 0.250 0.250
```

---

Model B:
Below is a geometry-optimized PrTmGaRu structure, with properties calculated at the PBE level. Values from VASP.

Calculated values
Magnetization   0.000 μB per atom

Cell and atoms, written as Quantum ESPRESSO input:
```
&SYSTEM
  ibrav = 0, nat = 4, ntyp = 4
/
ATOMIC_SPECIES
Pr 140.91 Pr.upf
Tm 168.93 Tm.upf
Ga 69.72 Ga.upf
Ru 101.07 Ru.upf
CELL_PARAMETERS angstrom
4.361 0.000 0.000
0.000 2.000 5.372
0.000 -2.000 5.372
ATOMIC_POSITIONS crystal
Pr 0.000 0.000 0.000
Tm 0.500 0.286 0.286
Ga 0.500 0.588 0.588
Ru 0.000 0.721 0.721
```

---

Order from most stable to least stable according to the calculation: model B, model A